Below is a relaxed Pm2MnF8 crystal, with properties calculated at the PBE+U level.

Geometry as CIF:
```
data_Pm2MnF8
_chemical_formula_sum 'Pm4 Mn2 F16'
_space_group_name_H-M_alt 'C 1 2/m 1'
_space_group_IT_number 12
_cell_length_a 14.869
_cell_length_b 3.760
_cell_length_c 5.458
_cell_angle_alpha 90.00
_cell_angle_beta 110.40
_cell_angle_gamma 90.00
loop_
_space_group_symop_operation_xyz
'x,y,z'
'-x,-y,-z'
'-x,y,-z'
'x,-y,z'
'x+1/2,y+1/2,z'
'-x+1/2,-y+1/2,-z'
'-x+1/2,y+1/2,-z'
'x+1/2,-y+1/2,z'
loop_
_atom_site_label
_atom_site_type_symbol
_atom_site_fract_x
_atom_site_fract_y
_atom_site_fract_z
Pm1 Pm 0.172 0.000 0.180
Mn1 Mn 0.000 0.500 0.500
F1 F 0.039 0.000 0.322
F2 F 0.092 0.500 0.917
F3 F 0.176 0.500 0.461
F4 F 0.222 0.000 0.823
```

Computed properties:
- total DFT energy (no corrections) (eV/atom) = -6.58